[1]
Density functional theory data (PBE) for a geometry-optimized BaSrCu2Sb structure.

Electronic total energy (eV/atom): -2.921
Formation energy (no corrections) (eV per atom): 0.263

Geometry as CIF:
```
data_BaSrCu2Sb
_symmetry_space_group_name_H-M 'P 4/m m m'
_symmetry_Int_Tables_number 123
_symmetry_space_group_name_Hall '-P 4 2'
_cell_length_a 5.162
_cell_length_b 5.162
_cell_length_c 6.408
_cell_angle_alpha 90.00
_cell_angle_beta 90.00
_cell_angle_gamma 90.00
loop_
_atom_site_label
_atom_site_type_symbol
_atom_site_fract_x
_atom_site_fract_y
_atom_site_fract_z
Ba1 Ba 0.000 0.000 0.000
Sr1 Sr 0.500 0.500 0.000
Cu1 Cu 0.000 0.500 0.500
Sb1 Sb 0.000 0.000 0.500
```



[2]
Density functional theory data (PBE) for a geometry-optimized BaTbCu2Sb2 structure.

Electronic total energy (eV/atom): -4.525
Formation energy (no corrections) (eV per atom): -0.693

Geometry as CIF:
```
data_BaTbCu2Sb2
_symmetry_space_group_name_H-M 'P -3 m 1'
_symmetry_Int_Tables_number 164
_symmetry_space_group_name_Hall '-P 3 2"'
_cell_length_a 4.4872
_cell_length_b 4.4872
_cell_length_c 8.8841
_cell_angle_alpha 90.00
_cell_angle_beta 90.00
_cell_angle_gamma 120.00
loop_
_atom_site_label
_atom_site_type_symbol
_atom_site_fract_x
_atom_site_fract_y
_atom_site_fract_z
Ba1 Ba 0.0000 0.0000 0.0000
Tb1 Tb 0.0000 0.0000 0.5000
Cu1 Cu 0.3333 0.6667 0.6864
Sb1 Sb 0.3333 0.6667 0.2758
```



[3]
Density functional theory data (PBE) for a geometry-optimized BaCuTcSb2 structure.

Electronic total energy (eV/atom): -2.893
Formation energy (no corrections) (eV per atom): 2.033

Geometry as CIF:
```
data_BaCuTcSb2
_symmetry_space_group_name_H-M 'P 4/m m m'
_symmetry_Int_Tables_number 123
_symmetry_space_group_name_Hall '-P 4 2'
_cell_length_a 6.203
_cell_length_b 6.203
_cell_length_c 5.458
_cell_angle_alpha 90.00
_cell_angle_beta 90.00
_cell_angle_gamma 90.00
loop_
_atom_site_label
_atom_site_type_symbol
_atom_site_fract_x
_atom_site_fract_y
_atom_site_fract_z
Ba1 Ba 0.000 0.000 0.000
Cu1 Cu 0.500 0.500 0.500
Tc1 Tc 0.000 0.000 0.500
Sb1 Sb 0.000 0.500 0.000
```



[4]
Density functional theory data (PBE) for a geometry-optimized BaCuSbTe3 structure.

Electronic total energy (eV/atom): -3.896
Formation energy (no corrections) (eV per atom): -0.635

Geometry as CIF:
```
data_BaCuSbTe3
_symmetry_space_group_name_H-M 'P 1 21/m 1'
_symmetry_Int_Tables_number 11
_cell_length_a 9.570
_cell_length_b 4.442
_cell_length_c 9.763
_cell_angle_alpha 90.00
_cell_angle_beta 103.74
_cell_angle_gamma 90.00
loop_
_symmetry_equiv_pos_as_xyz
'x,y,z'
'-x,-y,-z'
'-x,y+1/2,-z'
'x,-y+1/2,z'
loop_
_atom_site_label
_atom_site_type_symbol
_atom_site_fract_x
_atom_site_fract_y
_atom_site_fract_z
Ba1 Ba 0.175 0.250 0.249
Cu1 Cu 0.066 0.250 0.573
Sb1 Sb 0.338 0.750 0.852
Te1 Te 0.119 0.250 0.866
Te2 Te 0.216 0.750 0.528
Te3 Te 0.444 0.750 0.173
```



[5]
Density functional theory data (PBE) for a geometry-optimized BaCu2SbTe4 structure.

Electronic total energy (eV/atom): -3.731
Formation energy (no corrections) (eV per atom): -0.380

Geometry as CIF:
```
data_BaCu2SbTe4
_symmetry_space_group_name_H-M 'I 2 2 2'
_symmetry_Int_Tables_number 23
_cell_length_a 7.197
_cell_length_b 8.475
_cell_length_c 8.936
_cell_angle_alpha 90.00
_cell_angle_beta 90.00
_cell_angle_gamma 90.00
loop_
_symmetry_equiv_pos_as_xyz
'x,y,z'
'-x,-y,z'
'x,-y,-z'
'-x,y,-z'
'x+1/2,y+1/2,z+1/2'
'-x+1/2,-y+1/2,z+1/2'
'x+1/2,-y+1/2,-z+1/2'
'-x+1/2,y+1/2,-z+1/2'
loop_
_atom_site_label
_atom_site_type_symbol
_atom_site_fract_x
_atom_site_fract_y
_atom_site_fract_z
Ba1 Ba 0.000 0.000 0.000
Cu1 Cu 0.000 0.500 0.144
Sb1 Sb 0.000 0.000 0.500
Te1 Te 0.241 0.189 0.312
```



[6]
Density functional theory data (PBE) for a geometry-optimized BaCuSb2Te4 structure.

Electronic total energy (eV/atom): -3.783
Formation energy (no corrections) (eV per atom): -0.430

Geometry as CIF:
```
data_BaCuSb2Te4
_symmetry_space_group_name_H-M 'C m c m'
_symmetry_Int_Tables_number 63
_symmetry_space_group_name_Hall '-C 2c 2'
_cell_length_a 4.732
_cell_length_b 14.258
_cell_length_c 15.452
_cell_angle_alpha 90.00
_cell_angle_beta 90.00
_cell_angle_gamma 90.00
loop_
_atom_site_label
_atom_site_type_symbol
_atom_site_fract_x
_atom_site_fract_y
_atom_site_fract_z
Ba1 Ba 0.000 0.117 0.250
Cu1 Cu 0.000 0.146 0.750
Sb1 Sb 0.000 0.370 0.052
Te1 Te 0.000 0.000 0.000
Te2 Te 0.000 0.264 0.613
Te3 Te 0.000 0.433 0.250
```